VASP calculation (GGA-PBE) on an optimized crystal structure of BaZnBr.

Cell: 5.796 5.808 6.584 Å, 97.07 96.98 113.50°
Sites, in units of the cell vectors:
Ba1 0.168 0.331 0.250
Ba2 0.832 0.669 0.750
Zn1 0.500 0.000 0.000
Zn2 0.500 0.000 0.500
Br1 0.185 0.315 0.750
Br2 0.815 0.685 0.250

## Properties
The calculation puts the formation energy without anion corrections at -0.88 eV/atom. The value obtained for the size of the total moment is 0.0 μB/cell.

VASP calculation (GGA-PBE) on an optimized crystal structure of Cd12Ga6Pb.

Cell: 8.182 8.182 8.182 Å, 107.33 107.33 107.33°
Sites, in units of the cell vectors:
Cd1 0.000 0.386 0.614
Cd2 0.000 0.614 0.386
Cd3 0.140 0.140 0.383
Cd4 0.140 0.383 0.140
Cd5 0.383 0.140 0.140
Cd6 0.386 0.000 0.614
Cd7 0.386 0.614 0.000
Cd8 0.614 0.000 0.386
Cd9 0.614 0.386 0.000
Cd10 0.617 0.860 0.860
Cd11 0.860 0.617 0.860
Cd12 0.860 0.860 0.617
Ga1 0.196 0.196 0.796
Ga2 0.196 0.796 0.196
Ga3 0.204 0.804 0.804
Ga4 0.796 0.196 0.196
Ga5 0.804 0.204 0.804
Ga6 0.804 0.804 0.204
Pb1 0.500 0.500 0.500

## Properties
The value obtained for the size of the total moment is 0.0 μB/cell. The formation energy comes out at 1.92 eV/f.u.

VASP calculation (GGA-PBE) on an optimized crystal structure of KZnHg2.

Cell: 4.956 4.956 4.779 Å, 90.17 90.17 90.05°
Sites, in units of the cell vectors:
K1 0.000 0.000 0.000
Zn1 0.500 0.500 0.000
Hg1 0.000 0.500 0.500
Hg2 0.500 0.000 0.500

## Properties
The value obtained for the size of the total moment is 0.0 μB/cell. The formation energy comes out at -0.12 eV/f.u.

VASP calculation (GGA-PBE) on an optimized crystal structure of Pr2Nd3Tl6.

Cell: 12.279 12.279 12.279 Å, 151.41 151.41 40.88°
Sites, in units of the cell vectors:
Pr1 0.079 0.079 0.000
Pr2 0.921 0.921 0.000
Nd1 0.358 0.358 0.000
Nd2 0.500 0.500 0.000
Nd3 0.642 0.642 0.000
Tl1 0.069 0.569 0.500
Tl2 0.220 0.220 0.000
Tl3 0.431 0.931 0.500
Tl4 0.569 0.069 0.500
Tl5 0.780 0.780 0.000
Tl6 0.931 0.431 0.500

## Properties
The value obtained for the size of the total moment is 0.0 μB/cell. The formation energy comes out at 0.81 eV/f.u.

VASP calculation (GGA-PBE) on an optimized crystal structure of Ac2Nd3ThSe6.

Cell: 9.640 9.640 8.642 Å, 103.55 103.55 25.71°
Sites, in units of the cell vectors:
Ac1 0.163 0.163 0.330
Ac2 0.837 0.837 0.670
Nd1 0.168 0.168 0.837
Nd2 0.500 0.500 0.500
Nd3 0.832 0.832 0.163
Th1 0.500 0.500 0.000
Se1 0.005 0.005 0.753
Se2 0.334 0.334 0.927
Se3 0.335 0.335 0.407
Se4 0.665 0.665 0.593
Se5 0.666 0.666 0.073
Se6 0.995 0.995 0.247

## Properties
The calculation puts the formation energy without anion corrections at -1.78 eV/atom. The value obtained for the size of the total moment is 0.0 μB/cell.

| no. | D(E_F) (states/eV per atom) |
| --- | --- |
| 1 | 0.5698 |
| 2 | 0.4042 |
| 3 | 0.4744 |
| 4 | 1.2720 |
| 5 | 0.5758 |